Entry 1:
# ThPaBe2

A relaxed structure of ThPaBe2 (PBE, Alexandria).

Results
The value obtained for the electronic total energy is -5.5485 eV/atom. The theoretical density is 9.509 g cm⁻³.

Unit cell a=3.387 b=3.387 c=8.681 alpha=78.75 beta=78.75 gamma=60.00
Fractional coordinates of all 4 atoms:
Pa (0.000, 0.000, 0.000)
Th (0.500, 0.500, 0.500)
Be (0.253, 0.253, 0.241)
Be (0.747, 0.747, 0.759)

Entry 2:
# Ag4HgI5

A relaxed structure of Ag4HgI5 (PBE, Alexandria).

Results
The theoretical density is 5.477 g cm⁻³. The calculation puts the formation energy without anion corrections at -187 meV/atom.

Unit cell a=4.717 b=4.717 c=20.113 alpha=83.27 beta=83.27 gamma=60.00
Fractional coordinates of all 10 atoms:
Ag (0.546, 0.546, 0.363)
I (0.006, 0.006, 0.983)
Ag (0.752, 0.752, 0.745)
Hg (0.952, 0.952, 0.143)
Ag (0.355, 0.355, 0.936)
Ag (0.148, 0.148, 0.555)
I (0.800, 0.800, 0.601)
I (0.593, 0.593, 0.221)
I (0.403, 0.403, 0.792)
I (0.196, 0.196, 0.411)

Entry 3:
# Mn2MoAu

A relaxed structure of Mn2MoAu (PBE, Alexandria).

Results
The value obtained for the electronic total energy is -7.4761 eV/atom. The theoretical density is 10.298 g cm⁻³.

Unit cell a=6.874 b=6.874 c=5.584 alpha=52.01 beta=52.01 gamma=90.00
Fractional coordinates of all 8 atoms:
Mo (0.250, 0.750, 0.500)
Mn (0.875, 0.855, 0.750)
Au (0.000, 0.000, 0.000)
Mo (0.500, 0.500, 0.000)
Mn (0.605, 0.125, 0.250)
Mn (0.145, 0.625, 0.250)
Mn (0.375, 0.395, 0.750)
Au (0.750, 0.250, 0.500)

Number 1: M_tot 0.000 Bohr magnetons per cell. Number 2: M_tot 0.000 Bohr magnetons per cell. Number 3: M_tot 9.644 Bohr magnetons per cell.